Record 1
Entry from Alexandria via LeMat-Bulk: crystalline YO at its relaxed geometry (PBE).

Structure (extended XYZ):
```
4
Lattice="-2.486 2.399 2.014 -3.595 -1.196 -3.012 0.374 -3.845 1.081" Properties=species:S:1:pos:R:3 pbc="T T T"
Y -1.478 -2.067 0.641
Y -4.229 -0.575 -0.558
O -2.431 0.022 0.949
O -3.276 -2.664 -0.865
```

Calculated values
symmetry = No. 63
D(E_F) = 1.3 states/eV/f.u.

---

Record 2
Entry from Alexandria via LeMat-Bulk: crystalline YO at its relaxed geometry (PBE).

Structure (extended XYZ):
```
4
Lattice="-0.969 -2.630 1.690 2.272 -0.302 -2.336 4.492 1.063 4.231" Properties=species:S:1:pos:R:3 pbc="T T T"
Y 0.000 0.000 0.000
Y 2.246 0.532 2.116
O 2.315 -0.812 0.064
O 3.480 -1.056 3.522
```

Calculated values
symmetry = No. 194
D(E_F) = 1.0 states/eV/f.u.

---

Record 3
Entry from Alexandria via LeMat-Bulk: crystalline Y5O at its relaxed geometry (PBE).

Structure (extended XYZ):
```
6
Lattice="-4.268 4.619 -0.546 -2.385 -2.090 0.959 2.596 3.349 8.034" Properties=species:S:1:pos:R:3 pbc="T T T"
Y -2.390 2.801 5.886
Y -0.933 -0.619 2.053
Y -3.327 1.264 0.206
Y 1.144 1.878 6.939
Y -1.667 3.076 2.560
O 0.000 0.000 0.000
```

Calculated values
symmetry = No. 65
D(E_F) = 10.0 states/eV/f.u.

---

Record 4
Entry from Alexandria via LeMat-Bulk: crystalline YO at its relaxed geometry (PBE).

Structure (extended XYZ):
```
16
Lattice="6.783 0.000 0.000 0.000 6.802 0.000 0.000 0.000 6.860" Properties=species:S:1:pos:R:3 pbc="T T T"
Y 4.404 4.169 4.165
Y 1.013 6.033 2.694
Y 2.379 0.768 6.124
Y 5.770 2.632 0.735
Y 2.274 2.537 2.215
Y 5.666 0.864 4.645
Y 4.509 5.938 1.215
Y 1.117 4.265 5.644
O 2.078 4.319 3.603
O 5.470 5.884 3.257
O 4.704 0.918 6.687
O 1.313 2.483 0.173
O 2.587 0.268 1.540
O 5.979 3.133 5.320
O 4.195 3.669 1.890
O 0.804 6.533 4.969
```

Calculated values
symmetry = No. 19
D(E_F) = 0.2 states/eV/f.u.

---

Record 5
Entry from Alexandria via LeMat-Bulk: crystalline YO at its relaxed geometry (PBE).

Structure (extended XYZ):
```
16
Lattice="-2.171 -4.770 -7.900 8.482 2.165 -3.638 1.484 -3.225 1.540" Properties=species:S:1:pos:R:3 pbc="T T T"
Y 2.586 -4.329 -6.696
Y 5.210 -1.502 -3.302
Y 5.874 -2.787 -6.634
Y 1.921 -3.044 -3.363
Y 3.732 -2.952 -9.779
Y 2.579 0.347 -1.759
Y 7.154 0.464 -5.921
Y -0.843 -3.070 -5.617
O 4.525 -4.019 -7.915
O 3.270 -1.811 -2.082
O 6.768 -1.547 -4.899
O 1.028 -4.283 -5.099
O 1.836 -3.183 -8.436
O 4.476 0.578 -3.102
O 6.127 -0.805 -7.590
O 0.185 -1.800 -3.948
```

Calculated values
symmetry = No. 83
D(E_F) = 1.0 states/eV/f.u.

---

Record 6
Entry from Alexandria via LeMat-Bulk: crystalline YO2 at its relaxed geometry (PBE).

Structure (extended XYZ):
```
6
Lattice="3.663 0.000 0.000 0.000 4.230 0.027 0.000 1.893 5.940" Properties=species:S:1:pos:R:3 pbc="T T T"
Y 2.748 5.065 4.862
Y 0.916 1.058 1.106
O 2.748 1.602 2.645
O 0.916 4.521 3.322
O 2.748 2.936 5.669
O 0.916 3.186 0.299
```

Calculated values
symmetry = No. 11
D(E_F) = 0.9 states/eV/f.u.

---

no.,DFT total energy (eV per atom)
1,-8.46
2,-8.23
3,-6.59
4,-8.46
5,-8.44
6,-8.12